VASP calculation (GGA-PBE) on a relaxed Zr6Sb3P crystal.

Computed properties:
Raw formation energy = -0.666 eV/atom
Space group = P2_1/c

Cell lengths 6.594, 7.413, 9.500 Å; angles 90.00, 90.26, 90.00 degrees
Fractional coordinates of all 20 atoms:
Zr 0.632 0.185 0.562
Sb 0.567 0.861 0.742
Zr 0.675 0.474 0.266
Zr 0.868 0.685 0.938
Zr 0.132 0.315 0.062
Zr 0.152 0.348 0.441
Zr 0.348 0.848 0.059
Sb 0.500 0.500 0.000
Zr 0.175 0.026 0.766
Sb 0.067 0.639 0.242
P 0.000 0.000 0.000
Sb 0.433 0.139 0.258
Zr 0.652 0.152 0.941
Zr 0.848 0.652 0.559
Sb 0.000 0.000 0.500
Zr 0.368 0.815 0.438
Zr 0.325 0.526 0.734
Zr 0.825 0.974 0.234
P 0.500 0.500 0.500
Sb 0.933 0.361 0.758

***

VASP calculation (GGA-PBE) on a relaxed Pm6Nd2Cd crystal.

Computed properties:
ΔE_f = -11 meV/atom
Space group = P-1

Cell lengths 6.457, 12.797, 9.726 Å; angles 48.75, 88.97, 90.44 degrees
Fractional coordinates of all 18 atoms:
Pm 0.091 0.905 0.730
Nd 0.754 0.457 0.969
Pm 0.387 0.375 0.491
Pm 0.768 0.274 0.806
Pm 0.097 0.715 0.569
Nd 0.594 0.818 0.656
Pm 0.597 0.006 0.811
Pm 0.613 0.625 0.509
Pm 0.403 0.994 0.189
Nd 0.406 0.182 0.344
Cd 0.860 0.903 0.163
Pm 0.746 0.645 0.129
Pm 0.909 0.095 0.270
Pm 0.254 0.355 0.871
Cd 0.140 0.097 0.837
Nd 0.246 0.543 0.031
Pm 0.232 0.726 0.194
Pm 0.903 0.285 0.431